# AcTaCoO6 PBE+U relaxed
data_AcTaCoO6
_cell_length_a 5.0014
_cell_length_b 5.0014
_cell_length_c 9.9445
_cell_angle_alpha 90.00
_cell_angle_beta 90.00
_cell_angle_gamma 90.00
_symmetry_space_group_name_H-M 'P 42 n m'
_symmetry_Int_Tables_number 102
_symmetry_space_group_name_Hall 'P 4n -2n'
loop_
_atom_site_label
_atom_site_fract_x
_atom_site_fract_y
_atom_site_fract_z
_atom_site_occupancy
Ac1 0.0000 0.0000 0.0000 1
Ta1 0.0000 0.0000 0.6589 1
Co1 0.0000 0.0000 0.3254 1
O1 0.1639 0.1639 0.4892 1
O2 0.2213 0.2213 0.7855 1
O3 0.2245 0.2245 0.1872 1
# DOS at the Fermi energy (states/eV per atom): 0.50
# Spin magnetization (μB per formula unit): 4.14
# Total DFT energy (no corrections) (eV/atom): -7.79